26
Lattice="3.191 -5.527 0.000 3.191 5.527 0.000 0.000 0.000 10.400" Properties=species:S:1:pos:R:3 comment="PBE+U BaHoCo4O7, optimized geometry" dos_at_fermi_per_ev_atom=0.22 magnetic_moment_mub_per_fu=13.03 final_energy_ev_per_atom=-6.5036 pbc="T T T"
Ba 3.191 1.842 10.163
Ba 3.191 -1.842 4.963
Ho 3.191 1.842 3.887
Ho 3.191 -1.842 9.087
Co 3.191 -3.653 1.911
Co 4.759 0.937 7.111
Co 1.624 0.937 7.111
Co 4.759 -0.937 1.911
Co 1.624 -0.937 1.911
Co 3.191 3.653 7.111
Co 0.000 0.000 9.764
Co 0.000 0.000 4.564
O 3.191 -3.671 10.392
O 4.775 0.928 5.192
O 1.608 0.928 5.192
O 4.775 -0.928 10.392
O 1.608 -0.928 10.392
O 3.191 3.671 5.192
O 0.000 0.000 7.690
O 0.000 0.000 2.490
O 3.191 -0.090 2.669
O 1.673 2.719 7.869
O 4.709 2.719 7.869
O 1.673 -2.719 2.669
O 3.191 0.090 7.869
O 4.709 -2.719 2.669